Record 1
The following is a PBE-GGA calculation of Sc4CdSbC2 after structural relaxation, from OQMD via LeMat-Bulk.

Values from the calculation:
spin magnetization = 0.0703 μB per atom
calculated total energy = -6.686 eV per atom
volume = 147 Å³ per cell

The structure in CIF format:
```
data_Sc4CdSbC2
_chemical_formula_sum 'Sc4 Cd1 Sb1 C2'
_space_group_name_H-M_alt 'P 1'
_space_group_IT_number 1
_space_group_name_Hall 'P 1'
_cell_length_a 3.3675
_cell_length_b 3.3675
_cell_length_c 14.9577
_cell_angle_alpha 90.00
_cell_angle_beta 90.00
_cell_angle_gamma 120.00
loop_
_atom_site_label
_atom_site_fract_x
_atom_site_fract_y
_atom_site_fract_z
_atom_site_occupancy
Sc1 0.3333 0.6667 0.8239 1
Sc2 0.3333 0.6667 0.1761 1
Sc3 0.0000 0.0000 0.6617 1
Sc4 0.0000 0.0000 0.3383 1
Cd1 0.0000 0.0000 0.0000 1
C1 0.6667 0.3333 0.2580 1
C2 0.6667 0.3333 0.7420 1
Sb1 0.3333 0.6667 0.5000 1
```

***

Record 2
The following is a PBE-GGA calculation of Ta4CdSbC2 after structural relaxation, from OQMD via LeMat-Bulk.

Values from the calculation:
spin magnetization = 0.0001 μB per atom
calculated total energy = -9.147 eV per atom
volume = 127 Å³ per cell

The structure in CIF format:
```
data_Ta4CdSbC2
_chemical_formula_sum 'Ta4 Cd1 Sb1 C2'
_space_group_name_H-M_alt 'P 1'
_space_group_IT_number 1
_space_group_name_Hall 'P 1'
_cell_length_a 3.2557
_cell_length_b 3.2557
_cell_length_c 13.8142
_cell_angle_alpha 90.00
_cell_angle_beta 90.00
_cell_angle_gamma 120.00
loop_
_atom_site_label
_atom_site_fract_x
_atom_site_fract_y
_atom_site_fract_z
_atom_site_occupancy
Ta1 0.0000 0.0000 0.3409 1
Ta2 0.0000 0.0000 0.6590 1
Ta3 0.6667 0.3333 0.8248 1
Ta4 0.6667 0.3333 0.1752 1
Cd1 0.0000 0.0000 0.0000 1
C1 0.3333 0.6667 0.7438 1
C2 0.3333 0.6667 0.2562 1
Sb1 0.6667 0.3333 0.5000 1
```

***

Record 3
The following is a PBE-GGA calculation of CdSbW4C2 after structural relaxation, from OQMD via LeMat-Bulk.

Values from the calculation:
spin magnetization = 0.0009 μB per atom
calculated total energy = -9.091 eV per atom
volume = 119 Å³ per cell

The structure in CIF format:
```
data_CdSbW4C2
_chemical_formula_sum 'Cd1 Sb1 W4 C2'
_space_group_name_H-M_alt 'P 1'
_space_group_IT_number 1
_space_group_name_Hall 'P 1'
_cell_length_a 3.1520
_cell_length_b 3.1520
_cell_length_c 13.8562
_cell_angle_alpha 90.00
_cell_angle_beta 90.00
_cell_angle_gamma 120.00
loop_
_atom_site_label
_atom_site_fract_x
_atom_site_fract_y
_atom_site_fract_z
_atom_site_occupancy
C1 0.3333 0.6667 0.7458 1
C2 0.3333 0.6667 0.2542 1
W1 0.0000 0.0000 0.6636 1
W2 0.6667 0.3333 0.1739 1
W3 0.0000 0.0000 0.3364 1
W4 0.6667 0.3333 0.8261 1
Sb1 0.6667 0.3333 0.5000 1
Cd1 0.0000 0.0000 0.0000 1
```

***

- What is the calculated total energy in the first record?
  -6.686 eV per atom